1.
An optimized crystal structure of K3NaNb. Source: Alexandria via LeMat-Bulk, functional PBE-GGA.

Output
Energy relative to the lowest polymorph listed for this composition: 0.000 eV/atom
Formation enthalpy at 0 K: 1.035 eV/atom

Lattice parameters (Å, degrees): 6.832 6.832 6.832 90.00 90.00 90.00
Atoms (fractional coordinates):
K: 0.000 0.000 0.500
K: 0.000 0.500 0.000
K: 0.500 0.000 0.000
Na: 0.500 0.500 0.500
Nb: 0.000 0.000 0.000

***

2.
An optimized crystal structure of KNa2Nb. Source: Alexandria via LeMat-Bulk, functional PBE-GGA.

Output
Energy relative to the lowest polymorph listed for this composition: 0.000 eV/atom
Formation enthalpy at 0 K: 1.054 eV/atom

Lattice parameters (Å, degrees): 5.831 5.831 5.831 60.00 60.00 60.00
Atoms (fractional coordinates):
K: 0.000 0.000 0.000
Na: 0.250 0.250 0.250
Na: 0.750 0.750 0.750
Nb: 0.500 0.500 0.500

***

3.
An optimized crystal structure of KNaNdNbO5. Source: Alexandria via LeMat-Bulk, functional PBE-GGA.

Output
Formation energy from raw total energies: -2.6237 eV/atom

Lattice parameters (Å, degrees): 5.788 5.788 8.395 90.00 90.00 90.00
Atoms (fractional coordinates):
K: 0.250 0.750 0.000
K: 0.750 0.250 0.000
Na: 0.250 0.250 0.241
Na: 0.750 0.750 0.759
Nd: 0.250 0.750 0.500
Nd: 0.750 0.250 0.500
Nb: 0.250 0.250 0.742
Nb: 0.750 0.750 0.258
O: 0.019 0.019 0.670
O: 0.019 0.481 0.670
O: 0.250 0.250 0.965
O: 0.481 0.019 0.670
O: 0.481 0.481 0.670
O: 0.519 0.519 0.330
O: 0.519 0.981 0.330
O: 0.750 0.750 0.035
O: 0.981 0.519 0.330
O: 0.981 0.981 0.330

***

4.
An optimized crystal structure of KNaNb2Ni. Source: Alexandria via LeMat-Bulk, functional PBE-GGA.

Output
Formation enthalpy at 0 K: 2.517 eV/atom

Lattice parameters (Å, degrees): 4.743 4.743 4.613 90.00 90.00 90.00
Atoms (fractional coordinates):
K: 0.000 0.000 0.000
Na: 0.000 0.000 0.500
Nb: 0.000 0.500 0.000
Nb: 0.500 0.000 0.000
Ni: 0.500 0.500 0.500

***

Respective raw total energy values: -9.51, -9.59, -131.32, -15.75 eV per cell.